Density functional theory data (GGA-PBE) for a relaxed ThCdRh crystal.

Geometry as extended XYZ:
```
3
Lattice="4.7625 0.0000 0.0000 2.3813 4.1245 0.0000 2.3813 1.3748 3.8886" Properties=species:S:1:pos:R:3 pbc="T T T"
Rh 2.3813 1.3748 0.9721
Th 0.0000 0.0000 0.0000
Cd 4.7625 2.7496 1.9443
```

Computed properties:
The formation enthalpy at 0 K is -459 meV per atom. The value obtained for the density of states at the Fermi level is 2.68 states/eV/cell. The calculation puts the theoretical density at 9725 kg/m³.